DFT (PBE) results for crystalline Li4HgAu3 at its relaxed geometry.

Output
Total moment: 0.0 μB per cell
E_form: -0.500 eV/atom
Space-group type: No. 123
V: 128.6 Å³/cell
Crystal system: tetragonal

Cell lengths 3.206, 3.206, 12.505 Å; angles 90.00, 90.00, 90.00 degrees
Sites, in units of the cell vectors:
Li (0.000, 0.000, 0.379)
Li (0.000, 0.000, 0.858)
Li (0.000, 0.000, 0.621)
Li (0.000, 0.000, 0.142)
Au (0.500, 0.500, 0.742)
Au (0.500, 0.500, 0.500)
Au (0.500, 0.500, 0.258)
Hg (0.500, 0.500, 0.000)

---

DFT (PBE) results for crystalline Li8Hg3Au2 at its relaxed geometry.

Output
Total moment: 0.0 μB per cell
E_form: -0.357 eV/atom
Space-group type: No. 10
V: 236.9 Å³/cell
Crystal system: monoclinic

Cell lengths 4.521, 7.156, 7.831 Å; angles 110.81, 90.00, 90.00 degrees
Sites, in units of the cell vectors:
Li (0.000, 0.862, 0.764)
Li (0.000, 0.138, 0.236)
Li (0.000, 0.615, 0.381)
Li (0.500, 0.562, 0.838)
Li (0.500, 0.438, 0.162)
Li (0.500, 0.888, 0.315)
Li (0.500, 0.112, 0.685)
Li (0.000, 0.385, 0.619)
Au (0.500, 0.291, 0.432)
Au (0.500, 0.709, 0.568)
Hg (0.000, 0.278, 0.924)
Hg (0.000, 0.722, 0.076)
Hg (0.500, 0.000, 0.000)

---

DFT (PBE) results for crystalline LiHg2Au3 at its relaxed geometry.

Output
Total moment: 0.0 μB per cell
E_form: -0.162 eV/atom
Space-group type: No. 12
V: 118.7 Å³/cell
Crystal system: monoclinic

Cell lengths 4.274, 3.970, 7.807 Å; angles 110.40, 105.88, 90.00 degrees
Sites, in units of the cell vectors:
Au (0.500, 0.500, 0.000)
Au (0.136, 0.680, 0.271)
Au (0.864, 0.320, 0.729)
Hg (0.665, 0.222, 0.331)
Hg (0.335, 0.778, 0.669)
Li (0.000, 0.000, 0.000)

---

DFT (PBE) results for crystalline Li5HgAu3 at its relaxed geometry.

Output
Total moment: 0.0 μB per cell
E_form: -0.421 eV/atom
Space-group type: No. 193
V: 302.5 Å³/cell
Crystal system: hexagonal

Cell lengths 5.590, 7.905, 7.905 Å; angles 120.00, 90.00, 90.00 degrees
Sites, in units of the cell vectors:
Li (0.750, 0.309, 0.000)
Li (0.750, 0.691, 0.691)
Li (0.250, 0.691, 0.000)
Li (0.250, 0.309, 0.309)
Li (0.000, 0.333, 0.667)
Li (0.250, 0.000, 0.691)
Li (0.750, 0.000, 0.309)
Li (0.000, 0.667, 0.333)
Li (0.500, 0.667, 0.333)
Li (0.500, 0.333, 0.667)
Au (0.250, 0.000, 0.370)
Au (0.750, 0.370, 0.370)
Au (0.250, 0.630, 0.630)
Au (0.750, 0.630, 0.000)
Au (0.250, 0.370, 0.000)
Au (0.750, 0.000, 0.630)
Hg (0.000, 0.000, 0.000)
Hg (0.500, 0.000, 0.000)

---

DFT (PBE) results for crystalline LiHg2Au8 at its relaxed geometry.

Output
Total moment: 0.0 μB per cell
E_form: 0.022 eV/atom
Space-group type: No. 12
V: 242.2 Å³/cell
Crystal system: monoclinic

Cell lengths 5.276, 7.086, 7.086 Å; angles 77.76, 74.06, 74.06 degrees
Sites, in units of the cell vectors:
Au (0.998, 0.138, 0.614)
Au (0.789, 0.263, 0.263)
Au (0.002, 0.386, 0.862)
Au (0.998, 0.614, 0.138)
Au (0.002, 0.862, 0.386)
Au (0.211, 0.737, 0.737)
Au (0.715, 0.545, 0.545)
Au (0.285, 0.455, 0.455)
Hg (0.612, 0.853, 0.853)
Hg (0.388, 0.147, 0.147)
Li (0.000, 0.000, 0.000)

---

DFT (PBE) results for crystalline Li7HgAu2 at its relaxed geometry.

Output
Total moment: 0.0 μB per cell
E_form: -0.189 eV/atom
Space-group type: No. 65
V: 220.1 Å³/cell
Crystal system: orthorhombic

Cell lengths 4.480, 7.487, 7.487 Å; angles 118.81, 90.00, 90.00 degrees
Sites, in units of the cell vectors:
Hg (0.000, 0.000, 0.000)
Au (0.500, 0.696, 0.304)
Au (0.500, 0.304, 0.696)
Li (0.500, 0.940, 0.698)
Li (0.500, 0.698, 0.940)
Li (0.000, 0.226, 0.774)
Li (0.500, 0.302, 0.060)
Li (0.500, 0.060, 0.302)
Li (0.000, 0.774, 0.226)
Li (0.500, 0.500, 0.500)

---

Question: Among the records above, which one has the lowest E_form?
Answer: Li4HgAu3